# GGA-PBE Pm2Y2Ho, relaxed
data_Pm2Y2Ho
_chemical_formula_sum 'Pm8 Y8 Ho4'
_cell_length_a 8.736
_cell_length_b 12.281
_cell_length_c 6.585
_cell_angle_alpha 90.00
_cell_angle_beta 108.24
_cell_angle_gamma 90.00
_symmetry_space_group_name_H-M 'P 1 21/c 1'
_symmetry_Int_Tables_number 14
_symmetry_space_group_name_Hall '-P 2ybc'
loop_
_atom_site_label
_atom_site_type_symbol
_atom_site_fract_x
_atom_site_fract_y
_atom_site_fract_z
_atom_site_occupancy
Pm1 Pm 0.082 0.046 0.255 1
Pm2 Pm 0.350 0.543 0.237 1
Y1 Y 0.044 0.705 0.916 1
Y2 Y 0.303 0.197 0.002 1
Ho1 Ho 0.363 0.655 0.730 1
# Total magnetic moment ... 0.00 μB/f.u.
# Calculated total energy ... -5.2605 eV/atom
# Theoretical density ... 6.26 g cm⁻³
# Distance to the lowest polymorph of the same formula ... 65 kJ/mol of formula units